Entry from the Alexandria database: a relaxed structure of Ti6ZnBi (PBE).

Geometry as POSCAR:
```
Ti6ZnBi
1.0
5.799 -0.501 -0.658
-2.622 5.196 -0.658
-1.119 -1.655 5.798
Ti Bi Zn
6 1 1
Direct
0.982 0.513 0.726
0.254 0.254 0.737
0.746 0.746 0.263
0.487 0.018 0.274
0.018 0.487 0.274
0.513 0.982 0.726
0.000 0.000 0.000
0.500 0.500 0.500
```

## Properties
Space group: No. 12
VASP energy (eV per atom): -6.2460
Offset from the most stable computed form (eV per formula unit): 3.23
DFT formation energy (kJ per mole of atoms): 31

***

Entry from the Alexandria database: a relaxed structure of PrYTm3 (PBE).

Geometry as POSCAR:
```
PrYTm3
1.0
-2.175 -1.702 2.377
1.181 -5.976 -5.995
9.205 -3.857 5.658
Pr Tm Y
2 6 2
Direct
0.307 0.114 0.250
0.693 0.886 0.750
0.845 0.189 0.503
0.845 0.189 0.997
0.354 0.208 0.750
0.155 0.811 0.497
0.155 0.811 0.003
0.646 0.792 0.250
0.017 0.534 0.750
0.983 0.466 0.250
```

## Properties
Space group: No. 63
VASP energy (eV per atom): -4.5935
Offset from the most stable computed form (eV per formula unit): 1.29
DFT formation energy (kJ per mole of atoms): 33

***

Look up the VASP energy of the first one.
-6.2460 eV per atom

***

Which of these has the lowest VASP energy?
Ti6ZnBi

***

Repeat the first record exactly.
Entry from the Alexandria database: a relaxed structure of Ti6ZnBi (PBE).

Geometry as POSCAR:
```
Ti6ZnBi
1.0
5.799 -0.501 -0.658
-2.622 5.196 -0.658
-1.119 -1.655 5.798
Ti Bi Zn
6 1 1
Direct
0.982 0.513 0.726
0.254 0.254 0.737
0.746 0.746 0.263
0.487 0.018 0.274
0.018 0.487 0.274
0.513 0.982 0.726
0.000 0.000 0.000
0.500 0.500 0.500
```

## Properties
Space group: No. 12
VASP energy (eV per atom): -6.2460
Offset from the most stable computed form (eV per formula unit): 3.23
DFT formation energy (kJ per mole of atoms): 31

***

Copy entry 1 word for word.
Entry from the Alexandria database: a relaxed structure of Ti6ZnBi (PBE).

Geometry as POSCAR:
```
Ti6ZnBi
1.0
5.799 -0.501 -0.658
-2.622 5.196 -0.658
-1.119 -1.655 5.798
Ti Bi Zn
6 1 1
Direct
0.982 0.513 0.726
0.254 0.254 0.737
0.746 0.746 0.263
0.487 0.018 0.274
0.018 0.487 0.274
0.513 0.982 0.726
0.000 0.000 0.000
0.500 0.500 0.500
```

## Properties
Space group: No. 12
VASP energy (eV per atom): -6.2460
Offset from the most stable computed form (eV per formula unit): 3.23
DFT formation energy (kJ per mole of atoms): 31